#i
Computed, not measured: an optimized crystal structure of HoTmRhPb at the GGA-PBE level of DFT.

Results
N(E_F) (states/eV per cell): 1.402

Cell and atoms, written as CIF:
```
data_HoTmRhPb
_space_group_name_H-M_alt 'P 4 m m'
_space_group_IT_number 99
_space_group_name_Hall 'P 4 -2'
_cell_length_a 3.462
_cell_length_b 3.462
_cell_length_c 7.947
_cell_angle_alpha 90.00
_cell_angle_beta 90.00
_cell_angle_gamma 90.00
loop_
_atom_site_label
_atom_site_type_symbol
_atom_site_fract_x
_atom_site_fract_y
_atom_site_fract_z
Ho1 Ho 0.000 0.000 0.000
Tm1 Tm 0.000 0.000 0.587
Rh1 Rh 0.500 0.500 0.790
Pb1 Pb 0.500 0.500 0.296
```

#ii
Computed, not measured: an optimized crystal structure of HoTmRhPb at the GGA-PBE level of DFT.

Results
N(E_F) (states/eV per cell): 12.412

Cell and atoms, written as CIF:
```
data_HoTmRhPb
_space_group_name_H-M_alt 'F -4 3 m'
_space_group_IT_number 216
_space_group_name_Hall 'F -4 2 3'
_cell_length_a 7.217
_cell_length_b 7.217
_cell_length_c 7.217
_cell_angle_alpha 90.00
_cell_angle_beta 90.00
_cell_angle_gamma 90.00
loop_
_atom_site_label
_atom_site_type_symbol
_atom_site_fract_x
_atom_site_fract_y
_atom_site_fract_z
Ho1 Ho 0.000 0.000 0.000
Tm1 Tm 0.000 0.000 0.500
Rh1 Rh 0.250 0.250 0.750
Pb1 Pb 0.250 0.250 0.250
```

Stability summary - winner: #i; margin: 16.8 kJ/mol of atoms.

#i
Computed, not measured: an optimized crystal structure of Ho2RuPb at the GGA-PBE level of DFT.

Results
N(E_F) (states/eV per cell): 10.200

Cell and atoms, written as CIF:
```
data_Ho2RuPb
_space_group_name_H-M_alt 'R -3 m'
_space_group_IT_number 166
_space_group_name_Hall '-R 3 2"'
_cell_length_a 3.5823
_cell_length_b 3.5823
_cell_length_c 27.3439
_cell_angle_alpha 90.00
_cell_angle_beta 90.00
_cell_angle_gamma 120.00
loop_
_atom_site_label
_atom_site_type_symbol
_atom_site_fract_x
_atom_site_fract_y
_atom_site_fract_z
Ho1 Ho 0.0000 0.0000 0.2347
Ru1 Ru 0.0000 0.0000 0.5000
Pb1 Pb 0.0000 0.0000 0.0000
```

#ii
Computed, not measured: an optimized crystal structure of Ho2RuPb at the GGA-PBE level of DFT.

Results
N(E_F) (states/eV per cell): 1.401

Cell and atoms, written as CIF:
```
data_Ho2RuPb
_space_group_name_H-M_alt 'P 4/m m m'
_space_group_IT_number 123
_space_group_name_Hall '-P 4 2'
_cell_length_a 3.427
_cell_length_b 3.427
_cell_length_c 8.139
_cell_angle_alpha 90.00
_cell_angle_beta 90.00
_cell_angle_gamma 90.00
loop_
_atom_site_label
_atom_site_type_symbol
_atom_site_fract_x
_atom_site_fract_y
_atom_site_fract_z
Ho1 Ho 0.000 0.000 0.202
Ru1 Ru 0.500 0.500 0.000
Pb1 Pb 0.500 0.500 0.500
```

Stability summary - winner: #ii; margin: 20.1 kJ/mol of atoms.